DFT (PBE with a Hubbard U) results for a relaxed structure of Ba4Pa3NiO12.

The crystal system is cubic. Its density is 7.28 g/cm³. Its total energy is -158.50 eV per cell. The total magnetization is 0.15 μB/atom. The density of states at the Fermi level comes out at 0.390 states/eV per atom.

Cell: 7.619 7.619 7.619 Å, 109.47 109.47 109.47°
Site moments in Bohr magnetons follow the coordinates.
Sites, in units of the cell vectors:
Ba1 0.500 0.500 0.500  0.01
Ba2 0.000 0.000 0.500  0.01
Ba3 0.500 0.000 0.000  0.01
Ba4 0.000 0.500 0.000  0.01
Pa1 0.500 0.000 0.500  0.35
Pa2 0.500 0.500 0.000  0.35
Pa3 0.000 0.500 0.500  0.35
Ni1 0.000 0.000 0.000  1.78
O1 0.250 0.500 0.750  -0.01
O2 0.746 0.000 0.746  0.02
O3 0.254 0.000 0.254  0.02
O4 0.750 0.500 0.250  -0.01
O5 0.746 0.746 0.000  0.02
O6 0.254 0.254 0.000  0.02
O7 0.750 0.250 0.500  -0.01
O8 0.250 0.750 0.500  -0.01
O9 0.500 0.250 0.750  -0.01
O10 0.000 0.746 0.746  0.02
O11 0.500 0.750 0.250  -0.01
O12 0.000 0.254 0.254  0.02